First-principles (PBE) data for a geometry-optimized CsSbBr2F structure, as listed in Alexandria.

Output
As for the mass density: 4.3 g/cm³. As for the formation energy without anion corrections: -1.348 eV per atom. For the final energy, the calculation gives -3.39 eV/atom.

a = 6.0936 Å, b = 6.0936 Å, c = 4.5036 Å
α = 90.00°, β = 90.00°, γ = 90.00°
Last column: nearest neighbours and their distance in Å.
Sites, in units of the cell vectors:
Cs1 0.5000 0.5000 0.5000  8 Br 3.79
Sb1 0.0000 0.0000 0.0000  2 F 2.25
Br1 0.0000 0.5000 0.0000  2 Sb 3.05
Br2 0.5000 0.0000 0.0000  2 Sb 3.05
F1 0.0000 0.0000 0.5000  2 Sb 2.25